Entry 1:
The following is a PBE calculation of Rb2U2O7 after structural relaxation, from Alexandria.

## Properties
For the energy above the most stable polymorph in this dataset, the calculation gives 32 meV/atom. Its space-group type is C2/m. As for the crystal system: monoclinic. The total magnetization is 0.0 Bohr magnetons per cell. The uncorrected formation energy is -2826 meV/atom.

Lattice parameters (Å, degrees): 4.3216 7.5824 7.8797 61.24 82.24 73.70
Last column: nearest neighbours and their distance in Å.
Sites, in units of the cell vectors:
O (0.8492, 0.4212, 0.7278)  1 U 1.88
O (0.8492, 0.1490, 0.2722)  1 U 1.88
O (0.6937, 0.6161, 0.0000)  3 U 2.25-2.33
Rb (0.5000, 0.7940, 0.4121)  6 O 2.88-3.18
U (0.8489, 0.2964, 0.0000)  2 O 1.88
Rb (0.5000, 0.2060, 0.5879)  6 O 2.88-3.18
O (0.1508, 0.8510, 0.7278)  1 U 1.88
U (0.1511, 0.7036, 0.0000)  2 O 1.88
O (0.3063, 0.3839, 0.0000)  3 U 2.25-2.33
O (0.1508, 0.5788, 0.2722)  1 U 1.88
O (0.0000, 0.0000, 0.0000)  2 U 2.16

Entry 2:
The following is a PBE calculation of RbUO4 after structural relaxation, from Alexandria.

## Properties
For the energy above the most stable polymorph in this dataset, the calculation gives 483 meV/atom. Its space-group type is F-43m. As for the crystal system: cubic. The total magnetization is 1.0 Bohr magnetons per cell. The uncorrected formation energy is -1840 meV/atom.

Lattice parameters (Å, degrees): 6.2581 6.2581 6.2581 60.00 60.00 60.00
Last column: nearest neighbours and their distance in Å.
Sites, in units of the cell vectors:
O (0.8736, 0.8736, 0.8736)  1 U 1.94
Rb (0.5000, 0.5000, 0.5000)  12 O 3.67
U (0.0000, 0.0000, 0.0000)  4 O 1.94
O (0.8736, 0.8736, 0.3791)  1 U 1.94
O (0.8736, 0.3791, 0.8736)  1 U 1.94
O (0.3791, 0.8736, 0.8736)  1 U 1.94

Entry 3:
The following is a PBE calculation of Rb3U5O12 after structural relaxation, from Alexandria.

## Properties
Its space-group type is Ia-3d. As for the crystal system: cubic. The total magnetization is 36.0 Bohr magnetons per cell. The uncorrected formation energy is -2734 meV/atom.

Lattice parameters (Å, degrees): 12.5844 12.5844 12.5844 109.47 109.47 109.47
Last column: nearest neighbours and their distance in Å.
Sites, in units of the cell vectors:
O (0.0046, 0.3988, 0.8240)  2 U 2.13-2.19
O (0.1012, 0.9252, 0.1059)  2 U 2.13-2.19
O (0.6012, 0.6059, 0.4252)  2 U 2.13-2.19
U (0.1250, 0.7500, 0.3750)  4 O 2.13
U (0.2500, 0.8750, 0.1250)  4 O 2.13
O (0.3240, 0.5046, 0.3988)  2 U 2.13-2.19
O (0.3193, 0.8941, 0.9954)  2 U 2.13-2.19
O (0.1807, 0.5046, 0.6059)  2 U 2.13-2.19
Rb (0.3750, 0.6250, 0.2500)  8 O 2.87-3.11
Rb (0.1250, 0.8750, 0.7500)  8 O 2.87-3.11
U (0.1250, 0.3750, 0.2500)  4 O 2.13
U (0.6250, 0.8750, 0.2500)  4 O 2.13
O (0.5046, 0.3240, 0.8988)  2 U 2.13-2.19
O (0.3988, 0.3941, 0.5748)  2 U 2.13-2.19
O (0.6012, 0.9954, 0.6760)  2 U 2.13-2.19
O (0.9252, 0.8240, 0.8193)  2 U 2.13-2.19
O (0.6059, 0.6012, 0.9252)  2 U 2.13-2.19
O (0.1059, 0.4252, 0.1012)  2 U 2.13-2.19
O (0.1760, 0.0748, 0.6807)  2 U 2.13-2.19
O (0.8941, 0.5748, 0.8988)  2 U 2.13-2.19
O (0.8988, 0.8240, 0.5046)  2 U 2.13-2.19
O (0.6059, 0.0046, 0.1807)  2 U 2.13-2.19
U (0.0000, 0.5000, 0.5000)  6 O 2.19
U (0.3750, 0.2500, 0.1250)  4 O 2.13
O (0.6760, 0.1807, 0.5748)  2 U 2.13-2.19
O (0.9252, 0.1012, 0.6059)  2 U 2.13-2.19
O (0.4252, 0.3193, 0.3240)  2 U 2.13-2.19
O (0.6807, 0.5748, 0.1760)  2 U 2.13-2.19
U (0.8750, 0.6250, 0.7500)  4 O 2.13
O (0.6807, 0.1059, 0.0046)  2 U 2.13-2.19
O (0.3240, 0.8193, 0.4252)  2 U 2.13-2.19
Rb (0.2500, 0.6250, 0.8750)  8 O 2.87-3.11
U (0.3750, 0.1250, 0.7500)  4 O 2.13
O (0.8941, 0.3193, 0.4954)  2 U 2.13-2.19
O (0.1807, 0.6760, 0.0748)  2 U 2.13-2.19
Rb (0.7500, 0.8750, 0.6250)  8 O 2.87-3.11
U (0.5000, 0.0000, 0.5000)  6 O 2.19
O (0.1760, 0.1012, 0.9954)  2 U 2.13-2.19
O (0.8240, 0.9252, 0.3193)  2 U 2.13-2.19
O (0.8193, 0.4954, 0.3941)  2 U 2.13-2.19
U (0.5000, 0.5000, 0.0000)  6 O 2.19
O (0.5748, 0.8941, 0.3988)  2 U 2.13-2.19
O (0.3941, 0.9954, 0.8193)  2 U 2.13-2.19
U (0.8750, 0.2500, 0.6250)  4 O 2.13
U (0.6250, 0.7500, 0.8750)  4 O 2.13
O (0.0046, 0.6059, 0.6807)  2 U 2.13-2.19
O (0.5748, 0.6807, 0.6760)  2 U 2.13-2.19
Rb (0.8750, 0.7500, 0.1250)  8 O 2.87-3.11
O (0.3193, 0.4252, 0.8240)  2 U 2.13-2.19
Rb (0.6250, 0.2500, 0.3750)  8 O 2.87-3.11
O (0.8240, 0.8988, 0.0046)  2 U 2.13-2.19
O (0.4954, 0.6760, 0.1012)  2 U 2.13-2.19
O (0.9954, 0.6012, 0.1760)  2 U 2.13-2.19
O (0.9954, 0.3941, 0.3193)  2 U 2.13-2.19
Rb (0.3750, 0.7500, 0.6250)  8 O 2.87-3.11
U (0.2500, 0.3750, 0.6250)  4 O 2.13
Rb (0.2500, 0.1250, 0.3750)  8 O 2.87-3.11
O (0.4252, 0.1059, 0.6012)  2 U 2.13-2.19
Rb (0.6250, 0.3750, 0.7500)  8 O 2.87-3.11
Rb (0.8750, 0.1250, 0.2500)  8 O 2.87-3.11
U (0.0000, 0.0000, 0.5000)  6 O 2.19
O (0.0748, 0.1760, 0.1807)  2 U 2.13-2.19
O (0.3988, 0.0046, 0.3240)  2 U 2.13-2.19
U (0.0000, 0.5000, 0.0000)  6 O 2.19
U (0.5000, 0.5000, 0.5000)  6 O 2.19
U (0.7500, 0.6250, 0.3750)  4 O 2.13
O (0.1012, 0.1760, 0.4954)  2 U 2.13-2.19
Rb (0.1250, 0.2500, 0.8750)  8 O 2.87-3.11
O (0.3941, 0.3988, 0.0748)  2 U 2.13-2.19
O (0.6760, 0.4954, 0.6012)  2 U 2.13-2.19
O (0.4954, 0.8193, 0.8941)  2 U 2.13-2.19
O (0.1059, 0.6807, 0.5046)  2 U 2.13-2.19
U (0.5000, 0.0000, 0.0000)  6 O 2.19
Rb (0.7500, 0.3750, 0.1250)  8 O 2.87-3.11
O (0.5046, 0.1807, 0.1059)  2 U 2.13-2.19
O (0.0748, 0.8988, 0.3941)  2 U 2.13-2.19
O (0.8988, 0.0748, 0.8941)  2 U 2.13-2.19
U (0.7500, 0.1250, 0.8750)  4 O 2.13
U (0.0000, 0.0000, 0.0000)  6 O 2.19
O (0.8193, 0.3240, 0.9252)  2 U 2.13-2.19

Entry 4:
The following is a PBE calculation of Rb3U2O7 after structural relaxation, from Alexandria.

## Properties
For the energy above the most stable polymorph in this dataset, the calculation gives 26 meV/atom. Its space-group type is Cmmm. As for the crystal system: orthorhombic. The total magnetization is 1.0 Bohr magnetons per cell. The uncorrected formation energy is -2707 meV/atom.

Lattice parameters (Å, degrees): 4.3481 4.3725 12.2474 100.28 90.00 90.00
Last column: nearest neighbours and their distance in Å.
Sites, in units of the cell vectors:
O (0.5000, 0.9102, 0.8204)  2 U 2.17
O (0.5000, 0.0898, 0.1796)  2 U 2.17
O (0.0000, 0.4103, 0.8205)  2 U 2.19
Rb (0.5000, 0.6817, 0.3634)  8 O 3.09-3.11
O (0.0000, 0.1717, 0.3433)  1 U 1.96
U (0.0000, 0.9098, 0.8196)  6 O 1.96-2.19
O (0.0000, 0.8283, 0.6567)  1 U 1.96
U (0.0000, 0.0902, 0.1804)  6 O 1.96-2.19
O (0.0000, 0.0000, 0.0000)  2 U 2.17
Rb (0.5000, 0.3183, 0.6366)  8 O 3.09-3.11
O (0.0000, 0.5897, 0.1795)  2 U 2.19
Rb (0.5000, 0.5000, 0.0000)  12 O 3.07-3.08

Entry 5:
The following is a PBE calculation of Rb2U2O7 after structural relaxation, from Alexandria.

## Properties
For the energy above the most stable polymorph in this dataset, the calculation gives 6 meV/atom. Its space-group type is P-1. As for the crystal system: triclinic. The total magnetization is 0.0 Bohr magnetons per cell. The uncorrected formation energy is -2853 meV/atom.

Lattice parameters (Å, degrees): 6.9724 7.5421 8.1161 106.04 88.79 99.45
Last column: nearest neighbours and their distance in Å.
Sites, in units of the cell vectors:
Rb (0.2630, 0.4957, 0.1215)  6 O 2.79-2.93
U (0.0305, 0.9954, 0.2374)  2 O 1.87-1.88
Rb (0.2406, 0.4885, 0.6266)  6 O 2.84-3.07
Rb (0.7370, 0.5043, 0.8785)  6 O 2.79-2.93
Rb (0.7594, 0.5115, 0.3734)  6 O 2.84-3.07
O (0.3680, 0.9875, 0.2479)  3 U 2.21-2.37
O (0.0126, 0.2669, 0.8289)  1 U 1.88
O (0.9297, 0.7425, 0.6908)  1 U 1.87
O (0.1877, 0.0113, 0.9640)  3 U 2.22-2.48
O (0.8061, 0.9875, 0.4282)  2 U 2.18-2.21
O (0.5510, 0.2655, 0.5574)  1 U 1.90
O (0.6320, 0.0125, 0.7521)  3 U 2.21-2.37
O (0.4490, 0.7345, 0.4426)  1 U 1.90
O (0.4473, 0.7348, 0.9227)  1 U 1.90
O (0.8123, 0.9887, 0.0360)  3 U 2.22-2.48
O (0.9874, 0.7331, 0.1711)  1 U 1.88
U (0.5000, 0.0000, 0.5000)  2 O 1.90
O (0.1939, 0.0125, 0.5718)  2 U 2.18-2.21
U (0.5000, 0.0000, 0.0000)  2 O 1.90
O (0.0703, 0.2575, 0.3092)  1 U 1.87
U (0.9695, 0.0046, 0.7626)  2 O 1.87-1.88
O (0.5527, 0.2652, 0.0773)  1 U 1.90

Entry 6:
The following is a PBE calculation of Rb2U2O7 after structural relaxation, from Alexandria.

## Properties
For the energy above the most stable polymorph in this dataset, the calculation gives 61 meV/atom. Its space-group type is Pm. As for the crystal system: monoclinic. The total magnetization is 0.0 Bohr magnetons per cell. The uncorrected formation energy is -2797 meV/atom.

Lattice parameters (Å, degrees): 4.0799 7.0171 7.4916 71.89 90.00 90.00
Last column: nearest neighbours and their distance in Å.
Sites, in units of the cell vectors:
O (0.5000, 0.7976, 0.9866)  1 U 2.18
O (0.0000, 0.9248, 0.2584)  1 U 1.87
U (0.5000, 0.4857, 0.9910)  2 O 1.91
O (0.0000, 0.1010, 0.7348)  1 U 1.87
O (0.5000, 0.1562, 0.0032)  3 U 2.25-2.28
O (0.5000, 0.5782, 0.7227)  1 U 1.91
U (0.0000, 0.0240, 0.9966)  2 O 1.87
Rb (0.0000, 0.5041, 0.4882)  6 O 2.84-2.92
Rb (0.5000, 0.9963, 0.5086)  6 O 2.87-2.92
O (0.0000, 0.3826, 0.9861)  2 U 2.17
O (0.5000, 0.4045, 0.2589)  1 U 1.91

Entry 7:
The following is a PBE calculation of Rb3UO4 after structural relaxation, from Alexandria.

## Properties
Its space-group type is Immm. As for the crystal system: orthorhombic. The total magnetization is 0.1 Bohr magnetons per cell. The uncorrected formation energy is -2122 meV/atom.

Lattice parameters (Å, degrees): 7.0729 7.0729 7.0729 75.61 136.73 121.36
Last column: nearest neighbours and their distance in Å.
Sites, in units of the cell vectors:
Rb (0.5191, 0.2199, 0.7389)  4 O 2.85-2.88
Rb (0.0189, 0.0000, 0.0189)  4 O 3.01
O (0.3008, 0.7824, 0.5184)  1 U 1.96
U (0.0188, 0.5000, 0.5188)  4 O 1.96-1.99
O (0.0192, 0.6778, 0.6970)  1 U 1.99
O (0.0192, 0.3222, 0.3415)  1 U 1.99
O (0.7360, 0.2176, 0.5184)  1 U 1.96
Rb (0.5191, 0.7801, 0.2992)  4 O 2.85-2.88

Entry 8:
The following is a PBE calculation of RbU2O5 after structural relaxation, from Alexandria.

## Properties
Its space-group type is C2/m. As for the crystal system: monoclinic. The total magnetization is 3.0 Bohr magnetons per cell. The uncorrected formation energy is -2761 meV/atom.

Lattice parameters (Å, degrees): 6.4465 6.2075 8.1984 62.36 48.36 80.74
Last column: nearest neighbours and their distance in Å.
Sites, in units of the cell vectors:
O (0.3292, 0.5941, 0.9661)  2 U 2.08-2.22
O (0.6708, 0.4059, 0.0339)  2 U 2.08-2.22
U (0.8001, 0.6999, 0.6999)  5 O 2.08-2.22
O (0.0000, 0.5000, 0.5000)  2 U 2.11
Rb (0.0000, 0.0000, 0.0000)  4 O 3.01
O (0.8894, 0.0339, 0.4059)  2 U 2.08-2.22
U (0.1999, 0.3001, 0.3001)  5 O 2.08-2.22
O (0.1106, 0.9661, 0.5941)  2 U 2.08-2.22

Entry 9:
The following is a PBE calculation of Rb2UO6 after structural relaxation, from Alexandria.

## Properties
Its space-group type is C2/m. As for the crystal system: monoclinic. The total magnetization is 0.0 Bohr magnetons per cell. The uncorrected formation energy is -1697 meV/atom.

Lattice parameters (Å, degrees): 3.9196 7.0240 6.9264 120.47 91.32 90.00
Last column: nearest neighbours and their distance in Å.
Sites, in units of the cell vectors:
O (0.8251, 0.6887, 0.7727)  1 O 1.89, 1 U 2.05
O (0.1749, 0.3113, 0.2273)  1 O 1.89, 1 U 2.05
O (0.1749, 0.9161, 0.2273)  1 O 1.89, 1 U 2.05
O (0.5000, 0.1998, 0.0000)  2 O 1.89
Rb (0.6837, 0.6652, 0.3303)  8 O 2.94-3.02
Rb (0.3163, 0.3348, 0.6697)  8 O 2.94-3.02
U (0.0000, 0.0000, 0.0000)  4 O 2.05
O (0.5000, 0.8002, 0.0000)  2 O 1.89
O (0.8251, 0.0839, 0.7727)  1 O 1.89, 1 U 2.05

Entry 10:
The following is a PBE calculation of Rb3U2O7 after structural relaxation, from Alexandria.

## Properties
For the energy above the most stable polymorph in this dataset, the calculation gives 0 meV/atom. Its space-group type is I4/mmm. As for the crystal system: tetragonal. The total magnetization is 1.0 Bohr magnetons per cell. The uncorrected formation energy is -2733 meV/atom.

Lattice parameters (Å, degrees): 4.3649 4.3649 11.8991 100.57 100.57 90.00
Last column: nearest neighbours and their distance in Å.
Sites, in units of the cell vectors:
Rb (0.5000, 0.5000, 0.0000)  12 O 3.07-3.09
O (0.8197, 0.8197, 0.6394)  1 U 1.97
U (0.9055, 0.9055, 0.8110)  6 O 1.97-2.18
O (0.0000, 0.0000, 0.0000)  2 U 2.17
O (0.1803, 0.1803, 0.3606)  1 U 1.97
O (0.9062, 0.4062, 0.8125)  2 U 2.18
O (0.5938, 0.0938, 0.1875)  2 U 2.18
Rb (0.3086, 0.3086, 0.6172)  9 O 2.95-3.13
O (0.0938, 0.5938, 0.1875)  2 U 2.18
U (0.0945, 0.0945, 0.1890)  6 O 1.97-2.18
O (0.4062, 0.9062, 0.8125)  2 U 2.18
Rb (0.6914, 0.6914, 0.3828)  9 O 2.95-3.13

Entry 11:
The following is a PBE calculation of Rb2UO5 after structural relaxation, from Alexandria.

## Properties
Its space-group type is P4/mmm. As for the crystal system: tetragonal. The total magnetization is 1.8 Bohr magnetons per cell. The uncorrected formation energy is -2099 meV/atom.

Lattice parameters (Å, degrees): 4.3583 6.4865 6.4865 90.00 90.00 90.00
Last column: nearest neighbours and their distance in Å.
Sites, in units of the cell vectors:
O (0.0000, 0.7883, 0.7883)  1 U 1.94
O (0.0000, 0.7883, 0.2117)  1 U 1.94
Rb (0.5000, 0.5000, 0.0000)  10 O 3.18-3.24
O (0.0000, 0.2117, 0.2117)  1 U 1.94
O (0.5000, 0.0000, 0.0000)  2 U 2.18
U (0.0000, 0.0000, 0.0000)  4 O 1.94
Rb (0.5000, 0.0000, 0.5000)  10 O 3.18-3.24
O (0.0000, 0.2117, 0.7883)  1 U 1.94

Entry 12:
The following is a PBE calculation of RbUO4 after structural relaxation, from Alexandria.

## Properties
For the energy above the most stable polymorph in this dataset, the calculation gives 0 meV/atom. Its space-group type is P4/mmm. As for the crystal system: tetragonal. The total magnetization is 0.8 Bohr magnetons per cell. The uncorrected formation energy is -2323 meV/atom.

Lattice parameters (Å, degrees): 3.6783 3.6783 6.8727 90.00 90.00 90.00
Last column: nearest neighbours and their distance in Å.
Sites, in units of the cell vectors:
O (0.5000, 0.0000, 0.6783)  2 U 2.21, 1 O 2.45
U (0.5000, 0.5000, 0.5000)  8 O 2.21
O (0.0000, 0.5000, 0.6783)  2 U 2.21, 1 O 2.45
O (0.5000, 0.0000, 0.3217)  2 U 2.21, 1 O 2.45
O (0.0000, 0.5000, 0.3217)  2 U 2.21, 1 O 2.45
Rb (0.0000, 0.0000, 0.0000)  8 O 2.88

Q: The highest total magnetization belongs to which entry?
A: Rb3U5O12

Q: Which value of total magnetization does entry 12 give?
A: 0.8 Bohr magnetons per cell